Material: LaNbTc2
Method: DFT, PBE
State: optimized geometry

## Properties
The crystal system is tetragonal. The calculation puts the energy at -8.21 eV per atom. The energy relative to the elements is 0.72 eV/atom.

Lattice parameters (Å, degrees): 4.8829 4.8829 9.3545 74.87 74.87 90.00
Positions (direct):
Tc 0.8750 0.6250 0.7500
Tc 0.3750 0.6250 0.2500
Tc 0.3750 0.1250 0.2500
Tc 0.3750 0.6250 0.7500
La 0.7500 0.2500 0.5000
La 0.0000 0.0000 0.0000
Nb 0.2500 0.7500 0.5000
Nb 0.5000 0.5000 0.0000